Compound: KLiBrCl
Source: the Alexandria database
Functional: PBE-GGA
Structure: relaxed

Structure (CIF):
```
data_KLiBrCl
_space_group_name_H-M_alt 'P 1'
_space_group_IT_number 1
_cell_length_a 5.000
_cell_length_b 5.000
_cell_length_c 9.167
_cell_angle_alpha 90.00
_cell_angle_beta 90.00
_cell_angle_gamma 90.00
loop_
_space_group_symop_operation_xyz
'x,y,z'
loop_
_atom_site_label
_atom_site_type_symbol
_atom_site_fract_x
_atom_site_fract_y
_atom_site_fract_z
_atom_site_occupancy
Br1 Br 0.500 0.500 0.500 1
Br2 Br 0.000 0.000 0.500 1
Cl1 Cl 0.000 0.500 0.150 1
Cl2 Cl 0.500 0.000 0.850 1
K1 K 0.000 0.500 0.813 1
K2 K 0.500 0.000 0.187 1
Li1 Li 0.500 0.000 0.598 1
Li2 Li 0.000 0.500 0.402 1
```

Density of states at the Fermi level, states/eV per cell: 0.0
Raw formation energy, eV/atom: -1.708
E, hartree per atom: -0.12278

=====

Compound: K2MgBrCl3
Source: the Alexandria database
Functional: PBE-GGA
Structure: relaxed

Structure (CIF):
```
data_K2MgBrCl3
_space_group_name_H-M_alt 'P 1'
_space_group_IT_number 1
_cell_length_a 5.332
_cell_length_b 5.041
_cell_length_c 8.656
_cell_angle_alpha 106.93
_cell_angle_beta 107.94
_cell_angle_gamma 90.00
loop_
_space_group_symop_operation_xyz
'x,y,z'
loop_
_atom_site_label
_atom_site_type_symbol
_atom_site_fract_x
_atom_site_fract_y
_atom_site_fract_z
_atom_site_occupancy
Mg1 Mg 0.000 0.000 0.000 1
Br1 Br 0.500 0.000 0.000 1
K1 K 0.356 0.356 0.712 1
K2 K 0.644 0.644 0.288 1
Cl1 Cl 0.841 0.841 0.681 1
Cl2 Cl 0.000 0.500 0.000 1
Cl3 Cl 0.159 0.159 0.319 1
```

Density of states at the Fermi level, states/eV per cell: 0.0
Raw formation energy, eV/atom: -1.820
E, hartree per atom: -0.12464

=====

Spin magnetization for the records above, in order: 0.00; 0.00 μB per cell